This record from Alexandria describes Nd5Zn4Ru after structural relaxation. The functional is PBE.

Summary:
The density comes out at 7.36 g/cm3. The value obtained for the magnetization is 0.00 μB/f.u. The formation energy is -0.271 eV/atom. The value obtained for the density of states at the Fermi level is 1.077 states/eV per atom.

Cell lengths 3.628, 3.628, 18.570 Å; angles 90.00, 90.00, 90.00 degrees
Space group P4/mmm (No. 123)
Inequivalent atoms, fractional coordinates:
Nd  0.000  0.000  0.000
Nd  0.000  0.000  0.202
Nd  0.000  0.000  0.409
Zn  0.500  0.500  0.101
Zn  0.500  0.500  0.302
Ru  0.500  0.500  0.500